No. 1
TlCd2Re: optimized geometry, GGA-PBE.

```
data_TlCd2Re
_chemical_formula_sum 'Tl1 Cd2 Re1'
_cell_length_a 2.9412
_cell_length_b 2.9412
_cell_length_c 9.8818
_cell_angle_alpha 90.00
_cell_angle_beta 90.00
_cell_angle_gamma 90.00
_symmetry_space_group_name_H-M 'P 1'
_symmetry_Int_Tables_number 1
loop_
_symmetry_equiv_pos_as_xyz
'x,y,z'
loop_
_atom_site_label
_atom_site_type_symbol
_atom_site_fract_x
_atom_site_fract_y
_atom_site_fract_z
Tl1 Tl 0.0000 0.0000 0.0000
Cd1 Cd 0.0000 0.0000 0.5531
Cd2 Cd 0.5000 0.5000 0.3006
Re1 Re 0.5000 0.5000 0.7631
```

---

No. 2
TlCd2Re: optimized geometry, GGA-PBE.

```
data_TlCd2Re
_chemical_formula_sum 'Tl1 Cd2 Re1'
_cell_length_a 2.9359
_cell_length_b 4.5458
_cell_length_c 6.0899
_cell_angle_alpha 90.00
_cell_angle_beta 90.00
_cell_angle_gamma 90.00
_symmetry_space_group_name_H-M 'P 1'
_symmetry_Int_Tables_number 1
loop_
_symmetry_equiv_pos_as_xyz
'x,y,z'
loop_
_atom_site_label
_atom_site_type_symbol
_atom_site_fract_x
_atom_site_fract_y
_atom_site_fract_z
Tl1 Tl 0.0000 0.0000 0.0000
Cd1 Cd 0.5000 0.5000 0.2759
Cd2 Cd 0.5000 0.5000 0.7241
Re1 Re 0.0000 0.0000 0.5000
```

---

No. 3
TlCd2Re: optimized geometry, GGA-PBE.

```
data_TlCd2Re
_chemical_formula_sum 'Tl1 Cd2 Re1'
_cell_length_a 2.9964
_cell_length_b 2.9964
_cell_length_c 9.5837
_cell_angle_alpha 90.00
_cell_angle_beta 90.00
_cell_angle_gamma 90.00
_symmetry_space_group_name_H-M 'P 1'
_symmetry_Int_Tables_number 1
loop_
_symmetry_equiv_pos_as_xyz
'x,y,z'
loop_
_atom_site_label
_atom_site_type_symbol
_atom_site_fract_x
_atom_site_fract_y
_atom_site_fract_z
Tl1 Tl 0.0000 0.0000 0.0000
Cd1 Cd 0.5000 0.5000 0.2898
Cd2 Cd 0.5000 0.5000 0.7102
Re1 Re 0.0000 0.0000 0.5000
```

---

No. 4
TlCdRe2: optimized geometry, GGA-PBE.

```
data_TlCdRe2
_chemical_formula_sum 'Tl1 Cd1 Re2'
_cell_length_a 4.8621
_cell_length_b 4.8621
_cell_length_c 4.8621
_cell_angle_alpha 126.87
_cell_angle_beta 126.87
_cell_angle_gamma 78.46
_symmetry_space_group_name_H-M 'P 1'
_symmetry_Int_Tables_number 1
loop_
_symmetry_equiv_pos_as_xyz
'x,y,z'
loop_
_atom_site_label
_atom_site_type_symbol
_atom_site_fract_x
_atom_site_fract_y
_atom_site_fract_z
Tl1 Tl 0.0000 0.0000 0.0000
Cd1 Cd 0.2500 0.7500 0.5000
Re1 Re 0.5000 0.5000 0.0000
Re2 Re 0.7500 0.2500 0.5000
```

---

No. 5
TlCdRe2: optimized geometry, GGA-PBE.

```
data_TlCdRe2
_chemical_formula_sum 'Tl1 Cd1 Re2'
_cell_length_a 10.7190
_cell_length_b 10.7190
_cell_length_c 10.7190
_cell_angle_alpha 15.62
_cell_angle_beta 15.62
_cell_angle_gamma 15.62
_symmetry_space_group_name_H-M 'P 1'
_symmetry_Int_Tables_number 1
loop_
_symmetry_equiv_pos_as_xyz
'x,y,z'
loop_
_atom_site_label
_atom_site_type_symbol
_atom_site_fract_x
_atom_site_fract_y
_atom_site_fract_z
Tl1 Tl 0.0000 0.0000 0.0000
Cd1 Cd 0.7742 0.7742 0.7742
Re1 Re 0.2505 0.2505 0.2505
Re2 Re 0.5205 0.5205 0.5205
```

---

No. 6
TlCd2Re: optimized geometry, GGA-PBE.

```
data_TlCd2Re
_chemical_formula_sum 'Tl1 Cd2 Re1'
_cell_length_a 5.4837
_cell_length_b 5.4837
_cell_length_c 5.4837
_cell_angle_alpha 136.88
_cell_angle_beta 134.53
_cell_angle_gamma 64.46
_symmetry_space_group_name_H-M 'P 1'
_symmetry_Int_Tables_number 1
loop_
_symmetry_equiv_pos_as_xyz
'x,y,z'
loop_
_atom_site_label
_atom_site_type_symbol
_atom_site_fract_x
_atom_site_fract_y
_atom_site_fract_z
Tl1 Tl 0.0000 0.0000 0.0000
Cd1 Cd 0.2530 0.7530 0.5000
Cd2 Cd 0.5059 0.5059 0.0000
Re1 Re 0.7536 0.2536 0.5000
```

---

No. 7
TlCdRe3: optimized geometry, GGA-PBE.

```
data_TlCdRe3
_chemical_formula_sum 'Tl1 Cd1 Re3'
_cell_length_a 4.8947
_cell_length_b 4.8947
_cell_length_c 4.8947
_cell_angle_alpha 90.00
_cell_angle_beta 90.00
_cell_angle_gamma 90.00
_symmetry_space_group_name_H-M 'P 1'
_symmetry_Int_Tables_number 1
loop_
_symmetry_equiv_pos_as_xyz
'x,y,z'
loop_
_atom_site_label
_atom_site_type_symbol
_atom_site_fract_x
_atom_site_fract_y
_atom_site_fract_z
Tl1 Tl 0.0000 0.0000 0.0000
Cd1 Cd 0.5000 0.5000 0.5000
Re1 Re 0.0000 0.5000 0.5000
Re2 Re 0.5000 0.0000 0.5000
Re3 Re 0.5000 0.5000 0.0000
```

---

No. 8
TlCdRe2: optimized geometry, GGA-PBE.

```
data_TlCdRe2
_chemical_formula_sum 'Tl1 Cd1 Re2'
_cell_length_a 4.6445
_cell_length_b 4.6445
_cell_length_c 3.2830
_cell_angle_alpha 90.00
_cell_angle_beta 90.00
_cell_angle_gamma 90.00
_symmetry_space_group_name_H-M 'P 1'
_symmetry_Int_Tables_number 1
loop_
_symmetry_equiv_pos_as_xyz
'x,y,z'
loop_
_atom_site_label
_atom_site_type_symbol
_atom_site_fract_x
_atom_site_fract_y
_atom_site_fract_z
Tl1 Tl 0.0000 0.0000 0.0000
Cd1 Cd 0.5000 0.5000 0.0000
Re1 Re 0.0000 0.5000 0.5000
Re2 Re 0.5000 0.0000 0.5000
```

---

No. 9
TlCd3Re: optimized geometry, GGA-PBE.

```
data_TlCd3Re
_chemical_formula_sum 'Tl1 Cd3 Re1'
_cell_length_a 5.2904
_cell_length_b 5.2904
_cell_length_c 5.2904
_cell_angle_alpha 90.00
_cell_angle_beta 90.00
_cell_angle_gamma 90.00
_symmetry_space_group_name_H-M 'P 1'
_symmetry_Int_Tables_number 1
loop_
_symmetry_equiv_pos_as_xyz
'x,y,z'
loop_
_atom_site_label
_atom_site_type_symbol
_atom_site_fract_x
_atom_site_fract_y
_atom_site_fract_z
Tl1 Tl 0.0000 0.0000 0.0000
Cd1 Cd 0.0000 0.5000 0.5000
Cd2 Cd 0.5000 0.0000 0.5000
Cd3 Cd 0.5000 0.5000 0.0000
Re1 Re 0.5000 0.5000 0.5000
```

---

No. 10
TlCd2Re: optimized geometry, GGA-PBE.

```
data_TlCd2Re
_chemical_formula_sum 'Tl1 Cd2 Re1'
_cell_length_a 5.4087
_cell_length_b 5.4087
_cell_length_c 2.9885
_cell_angle_alpha 90.00
_cell_angle_beta 90.00
_cell_angle_gamma 114.32
_symmetry_space_group_name_H-M 'P 1'
_symmetry_Int_Tables_number 1
loop_
_symmetry_equiv_pos_as_xyz
'x,y,z'
loop_
_atom_site_label
_atom_site_type_symbol
_atom_site_fract_x
_atom_site_fract_y
_atom_site_fract_z
Tl1 Tl 0.0000 0.0000 0.0000
Cd1 Cd 0.0000 0.5000 0.5000
Cd2 Cd 0.5000 0.0000 0.5000
Re1 Re 0.5000 0.5000 0.0000
```

---

No. 11
TlCd2Re: optimized geometry, GGA-PBE.

```
data_TlCd2Re
_chemical_formula_sum 'Tl1 Cd2 Re1'
_cell_length_a 4.8420
_cell_length_b 4.8420
_cell_length_c 4.8420
_cell_angle_alpha 60.00
_cell_angle_beta 60.00
_cell_angle_gamma 60.00
_symmetry_space_group_name_H-M 'P 1'
_symmetry_Int_Tables_number 1
loop_
_symmetry_equiv_pos_as_xyz
'x,y,z'
loop_
_atom_site_label
_atom_site_type_symbol
_atom_site_fract_x
_atom_site_fract_y
_atom_site_fract_z
Tl1 Tl 0.0000 0.0000 0.0000
Cd1 Cd 0.2500 0.2500 0.2500
Cd2 Cd 0.5000 0.5000 0.5000
Re1 Re 0.7500 0.7500 0.7500
```

---

No. 12
TlCdRe2: optimized geometry, GGA-PBE.

```
data_TlCdRe2
_chemical_formula_sum 'Tl1 Cd1 Re2'
_cell_length_a 3.0257
_cell_length_b 3.0257
_cell_length_c 8.6260
_cell_angle_alpha 90.00
_cell_angle_beta 90.00
_cell_angle_gamma 90.00
_symmetry_space_group_name_H-M 'P 1'
_symmetry_Int_Tables_number 1
loop_
_symmetry_equiv_pos_as_xyz
'x,y,z'
loop_
_atom_site_label
_atom_site_type_symbol
_atom_site_fract_x
_atom_site_fract_y
_atom_site_fract_z
Tl1 Tl 0.0000 0.0000 0.0000
Cd1 Cd 0.5000 0.5000 0.3208
Re1 Re 0.0000 0.0000 0.5670
Re2 Re 0.5000 0.5000 0.7312
```

---

The records above yield total energy values of -3.468; -3.451; -3.556; -6.044; -6.575; -3.390; -5.097; -5.751; -2.644; -3.465; -3.246; -6.649 eV/atom, respectively.
The records above yield calculated formation energy values of 693; 710; 605; 1000; 469; 771; 3028; 1293; 868; 696; 916; 396 meV per atom, respectively.
The records above yield N(E_F) values of 3.2; 2.1; 3.2; 3.0; 1.1; 2.4; 5.9; 4.6; 3.7; 2.8; 2.5; 2.5 states/eV/f.u., respectively.